Density functional theory data (PBE) for an optimized crystal structure of KSrV2Pd. Values from VASP.

- electronic total energy (eV/atom) = -4.36

Structure (Quantum ESPRESSO input):
```
&SYSTEM
  ibrav = 0, nat = 5, ntyp = 4
/
ATOMIC_SPECIES
Sr 87.62 Sr.upf
K 39.10 K.upf
Pd 106.42 Pd.upf
V 50.94 V.upf
CELL_PARAMETERS angstrom
5.048 0.000 0.000
0.000 5.810 0.000
0.000 0.000 5.048
ATOMIC_POSITIONS angstrom
Sr 2.524 2.905 2.524
K 0.000 2.905 0.000
Pd 0.000 0.000 0.000
V 0.000 0.000 2.524
V 2.524 0.000 0.000
```


Density functional theory data (PBE) for an optimized crystal structure of NaCaTi2. Values from VASP.

- polymorph energy (0 for the lowest one) (eV per atom) = 0.000

Structure (Quantum ESPRESSO input):
```
&SYSTEM
  ibrav = 0, nat = 4, ntyp = 3
/
ATOMIC_SPECIES
Na 22.99 Na.upf
Ca 40.08 Ca.upf
Ti 47.87 Ti.upf
CELL_PARAMETERS angstrom
0.000 3.645 3.645
3.645 0.000 3.645
3.645 3.645 0.000
ATOMIC_POSITIONS angstrom
Na 0.000 0.000 0.000
Ca 3.645 3.645 3.645
Ti 1.823 1.823 1.823
Ti 5.468 5.468 5.468
```


Density functional theory data (PBE) for an optimized crystal structure of Pr3Sm2Ho2. Values from VASP.

- polymorph energy (0 for the lowest one) (eV per atom) = 0.000

Structure (Quantum ESPRESSO input):
```
&SYSTEM
  ibrav = 0, nat = 7, ntyp = 3
/
ATOMIC_SPECIES
Pr 140.91 Pr.upf
Sm 150.36 Sm.upf
Ho 164.93 Ho.upf
CELL_PARAMETERS angstrom
-3.655 -0.324 -5.119
-1.990 -6.517 4.420
-4.384 -0.691 4.466
ATOMIC_POSITIONS angstrom
Pr 0.000 0.000 0.000
Pr -5.335 -3.306 0.154
Pr -4.694 -4.226 3.614
Sm -7.691 -5.427 1.971
Sm -2.338 -2.104 1.797
Ho -3.010 -1.205 -1.652
Ho -7.020 -6.327 5.420
```


Density functional theory data (PBE) for an optimized crystal structure of Pm2PrNd. Values from VASP.

- polymorph energy (0 for the lowest one) (eV per atom) = 0.007

Structure (Quantum ESPRESSO input):
```
&SYSTEM
  ibrav = 0, nat = 4, ntyp = 3
/
ATOMIC_SPECIES
Pm 145.00 Pm.upf
Pr 140.91 Pr.upf
Nd 144.24 Nd.upf
CELL_PARAMETERS angstrom
-2.339 -2.774 -0.658
1.061 -2.853 -2.082
3.527 -7.524 8.838
ATOMIC_POSITIONS angstrom
Pm 2.548 -6.125 6.424
Pm 0.556 -3.279 1.510
Pr 1.123 -6.574 3.046
Nd 2.672 -11.271 7.004
```


Density functional theory data (PBE) for an optimized crystal structure of Y6Zn2In. Values from VASP.

- electronic total energy (eV/atom) = -5.18

Structure (Quantum ESPRESSO input):
```
&SYSTEM
  ibrav = 0, nat = 18, ntyp = 3
/
ATOMIC_SPECIES
Y 88.91 Y.upf
Zn 65.41 Zn.upf
In 114.82 In.upf
CELL_PARAMETERS angstrom
8.112 0.081 -2.997
-4.227 7.121 -2.495
-0.125 -0.081 8.647
ATOMIC_POSITIONS angstrom
Y 1.221 5.137 3.629
Y 2.539 1.984 -0.474
Y -0.524 1.903 6.095
Y 4.284 5.218 -2.940
Y 3.168 5.436 0.527
Y 0.592 1.685 2.628
Y -1.677 5.355 5.836
Y 5.437 1.766 -2.681
Y 4.015 2.807 2.795
Y -0.255 4.314 0.360
Y -1.849 6.893 2.614
Y 5.609 0.228 0.541
Zn 2.354 2.652 5.143
Zn 1.406 4.469 -1.988
Zn 5.090 0.000 3.601
Zn 2.897 0.000 2.049
In -2.176 3.520 3.076
In 0.000 0.000 0.000
```


Density functional theory data (PBE) for an optimized crystal structure of LiTbAlPt. Values from VASP.

- electronic total energy (eV/atom) = -4.85

Structure (Quantum ESPRESSO input):
```
&SYSTEM
  ibrav = 0, nat = 4, ntyp = 4
/
ATOMIC_SPECIES
Tb 158.93 Tb.upf
Al 26.98 Al.upf
Pt 195.08 Pt.upf
Li 6.94 Li.upf
CELL_PARAMETERS angstrom
-2.170 -1.895 3.686
-2.782 -3.717 -0.579
1.331 -4.191 1.598
ATOMIC_POSITIONS angstrom
Tb 0.000 0.000 0.000
Al -1.810 -4.901 2.353
Pt -2.716 -7.352 3.529
Li -0.905 -2.451 1.176
```


Density functional theory data (PBE) for an optimized crystal structure of Pm4ZnCuHg2. Values from VASP.

- electronic total energy (eV/atom) = -3.46

Structure (Quantum ESPRESSO input):
```
&SYSTEM
  ibrav = 0, nat = 8, ntyp = 4
/
ATOMIC_SPECIES
Pm 145.00 Pm.upf
Zn 65.41 Zn.upf
Cu 63.55 Cu.upf
Hg 200.59 Hg.upf
CELL_PARAMETERS angstrom
5.274 0.000 0.000
2.637 4.568 0.000
2.637 1.523 8.603
ATOMIC_POSITIONS angstrom
Pm 5.274 3.045 7.454
Pm 7.911 4.568 3.288
Pm 2.637 1.523 5.315
Pm 5.274 3.045 1.149
Zn 0.000 0.000 0.000
Cu 5.274 3.045 4.302
Hg 7.911 4.568 6.547
Hg 2.637 1.523 2.056
```


Density functional theory data (PBE) for an optimized crystal structure of Al3ZnTc. Values from VASP.

- polymorph energy (0 for the lowest one) (eV per atom) = 0.000

Structure (Quantum ESPRESSO input):
```
&SYSTEM
  ibrav = 0, nat = 10, ntyp = 3
/
ATOMIC_SPECIES
Al 26.98 Al.upf
Zn 65.41 Zn.upf
Tc 98.00 Tc.upf
CELL_PARAMETERS angstrom
3.458 0.003 0.001
1.725 4.653 -0.050
-0.004 -0.183 9.230
ATOMIC_POSITIONS angstrom
Al 3.455 1.174 4.207
Al 1.724 1.289 8.679
Al 3.453 2.355 6.800
Al 1.724 3.299 4.975
Al 1.726 2.118 2.382
Al 3.455 3.184 0.503
Zn 3.457 0.347 1.306
Zn 1.722 4.126 7.876
Tc 3.453 3.972 3.042
Tc 1.726 0.501 6.140
```


Density functional theory data (PBE) for an optimized crystal structure of EuMg3. Values from VASP.

- electronic total energy (eV/atom) = -3.76

Structure (Quantum ESPRESSO input):
```
&SYSTEM
  ibrav = 0, nat = 4, ntyp = 2
/
ATOMIC_SPECIES
Eu 151.96 Eu.upf
Mg 24.30 Mg.upf
CELL_PARAMETERS angstrom
-0.942 2.659 2.251
1.524 -3.151 4.361
4.817 2.307 -3.602
ATOMIC_POSITIONS angstrom
Eu 1.398 -2.891 4.000
Mg 2.971 -0.368 1.678
Mg 0.165 0.014 2.946
Mg 2.172 2.712 0.598
```


Density functional theory data (PBE) for an optimized crystal structure of Pr6ScCd5. Values from VASP.

- electronic total energy (eV/atom) = -3.54

Structure (Quantum ESPRESSO input):
```
&SYSTEM
  ibrav = 0, nat = 12, ntyp = 3
/
ATOMIC_SPECIES
Pr 140.91 Pr.upf
Sc 44.96 Sc.upf
Cd 112.41 Cd.upf
CELL_PARAMETERS angstrom
5.371 0.002 -1.119
-0.003 7.747 -0.001
-0.989 0.000 8.684
ATOMIC_POSITIONS angstrom
Pr 3.816 5.829 4.821
Pr 3.817 1.922 4.822
Pr 1.695 1.996 8.124
Pr 2.683 5.754 -0.560
Pr 0.561 5.827 2.743
Pr 0.563 1.921 2.743
Sc 0.000 0.000 0.000
Cd 3.234 3.875 2.144
Cd 1.167 7.748 5.553
Cd -0.002 3.873 0.000
Cd 3.211 0.002 2.011
Cd 1.144 3.874 5.420
```


Density functional theory data (PBE) for an optimized crystal structure of La3PO6. Values from VASP.

- E_form (uncorrected) (eV per atom) = -3.052

Structure (Quantum ESPRESSO input):
```
&SYSTEM
  ibrav = 0, nat = 20, ntyp = 3
/
ATOMIC_SPECIES
La 138.91 La.upf
P 30.97 P.upf
O 16.00 O.upf
CELL_PARAMETERS angstrom
-3.403 2.134 4.769
-3.898 -6.376 0.072
5.653 -1.433 4.674
ATOMIC_POSITIONS angstrom
La -1.304 -5.770 5.623
La -0.897 -3.611 9.023
La 0.280 -2.458 4.973
La -3.293 -2.360 6.457
La -1.957 1.107 6.155
La -2.364 -1.051 2.755
P 3.830 -2.169 4.138
P -4.140 -4.346 3.502
O 0.327 -4.753 4.156
O -1.200 -3.595 6.624
O 3.048 -3.403 4.903
O -3.518 -4.854 4.943
O 4.419 -1.268 5.402
O 1.630 -1.314 6.357
O -2.018 -5.150 1.395
O -5.770 -4.594 3.697
O 2.566 -1.257 3.598
O -4.000 -2.708 3.639
O -0.245 -2.207 2.608
O -1.772 -1.049 5.077
```


Density functional theory data (PBE) for an optimized crystal structure of CaPm8Si6. Values from VASP.

- E_form (uncorrected) (eV per atom) = -0.515

Structure (Quantum ESPRESSO input):
```
&SYSTEM
  ibrav = 0, nat = 15, ntyp = 3
/
ATOMIC_SPECIES
Ca 40.08 Ca.upf
Pm 145.00 Pm.upf
Si 28.09 Si.upf
CELL_PARAMETERS angstrom
8.849 0.000 0.000
4.424 7.663 0.000
4.424 2.554 6.129
ATOMIC_POSITIONS angstrom
Ca 0.000 0.000 0.000
Pm 7.409 2.518 1.855
Pm 10.373 2.566 4.274
Pm 5.885 5.060 4.274
Pm 13.273 7.663 6.125
Pm 4.424 2.554 0.005
Pm 11.812 5.157 1.855
Pm 7.325 7.651 1.855
Pm 10.289 7.700 4.274
Si 7.404 2.544 4.856
Si 10.348 2.576 1.273
Si 5.905 5.077 1.273
Si 11.792 5.140 4.856
Si 7.350 7.642 4.856
Si 10.293 7.674 1.273
```